The following is a PBE-GGA calculation of an optimized crystal structure of TcMo2, from Alexandria.

As for the offset from the most stable computed form: 0.184 eV/atom. The uncorrected energy is -0.767 Ry per atom.

CIF file:
```
data_TcMo2
_chemical_formula_sum 'Tc8 Mo16'
_cell_length_a 3.936
_cell_length_b 3.936
_cell_length_c 24.116
_cell_angle_alpha 90.00
_cell_angle_beta 90.00
_cell_angle_gamma 90.00
_symmetry_space_group_name_H-M 'I 41/a m d'
_symmetry_Int_Tables_number 141
loop_
_symmetry_equiv_pos_as_xyz
'x,y,z'
'-x,-y,-z'
'-y+1/4,x+3/4,z+1/4'
'y+1/4,-x+3/4,-z+1/4'
'-x+1/2,-y,z+1/2'
'x+1/2,y,-z+1/2'
'y+1/4,-x+1/4,z+3/4'
'-y+1/4,x+1/4,-z+3/4'
'x,-y,-z'
'-x,y,z'
'-y+1/4,-x+1/4,-z+3/4'
'y+1/4,x+1/4,z+3/4'
'-x+1/2,y,-z+1/2'
'x+1/2,-y,z+1/2'
'y+1/4,x+3/4,-z+1/4'
'-y+1/4,-x+3/4,z+1/4'
'x+1/2,y+1/2,z+1/2'
'-x+1/2,-y+1/2,-z+1/2'
'-y+3/4,x+1/4,z+3/4'
'y+3/4,-x+1/4,-z+3/4'
'-x,-y+1/2,z'
'x,y+1/2,-z'
'y+3/4,-x+3/4,z+1/4'
'-y+3/4,x+3/4,-z+1/4'
'x+1/2,-y+1/2,-z+1/2'
'-x+1/2,y+1/2,z+1/2'
'-y+3/4,-x+3/4,-z+1/4'
'y+3/4,x+3/4,z+1/4'
'-x,y+1/2,-z'
'x,-y+1/2,z'
'y+3/4,x+1/4,-z+3/4'
'-y+3/4,-x+1/4,z+3/4'
loop_
_atom_site_label
_atom_site_fract_x
_atom_site_fract_y
_atom_site_fract_z
Tc1 0.000 0.250 0.290
Mo1 0.000 0.250 0.124
Mo2 0.000 0.250 0.790
```



The following is a PBE-GGA calculation of an optimized crystal structure of Tc3Mo, from Alexandria.

As for the offset from the most stable computed form: 0.072 eV/atom. The uncorrected energy is -0.760 Ry per atom.

CIF file:
```
data_Tc3Mo
_chemical_formula_sum 'Tc9 Mo3'
_cell_length_a 2.7611
_cell_length_b 2.7611
_cell_length_c 27.1970
_cell_angle_alpha 90.00
_cell_angle_beta 90.00
_cell_angle_gamma 120.00
_symmetry_space_group_name_H-M 'R -3 m'
_symmetry_Int_Tables_number 166
_symmetry_space_group_name_Hall '-R 3 2"'
loop_
_atom_site_label
_atom_site_fract_x
_atom_site_fract_y
_atom_site_fract_z
Tc1 0.0000 0.0000 0.0000
Tc2 0.0000 0.0000 0.2519
Mo1 0.0000 0.0000 0.5000
```



The following is a PBE-GGA calculation of an optimized crystal structure of TcMo5, from Alexandria.

As for the offset from the most stable computed form: 0.331 eV/atom. The uncorrected energy is -0.765 Ry per atom.

CIF file:
```
data_TcMo5
_chemical_formula_sum 'Tc1 Mo5'
_cell_length_a 2.7794
_cell_length_b 2.7794
_cell_length_c 14.2313
_cell_angle_alpha 90.00
_cell_angle_beta 90.00
_cell_angle_gamma 120.00
_symmetry_space_group_name_H-M 'P -6 m 2'
_symmetry_Int_Tables_number 187
_symmetry_space_group_name_Hall 'P -6 2'
loop_
_atom_site_label
_atom_site_fract_x
_atom_site_fract_y
_atom_site_fract_z
Tc1 0.0000 0.0000 0.0000
Mo1 0.0000 0.0000 0.3291
Mo2 0.3333 0.6667 0.1577
Mo3 0.3333 0.6667 0.5000
```



The following is a PBE-GGA calculation of an optimized crystal structure of Tc3Mo, from Alexandria.

As for the offset from the most stable computed form: 0.059 eV/atom. The uncorrected energy is -0.761 Ry per atom.

CIF file:
```
data_Tc3Mo
_chemical_formula_sum 'Tc3 Mo1'
_cell_length_a 2.710
_cell_length_b 4.286
_cell_length_c 5.321
_cell_angle_alpha 90.00
_cell_angle_beta 103.58
_cell_angle_gamma 90.00
_symmetry_space_group_name_H-M 'P 1 2/m 1'
_symmetry_Int_Tables_number 10
loop_
_symmetry_equiv_pos_as_xyz
'x,y,z'
'-x,-y,-z'
'-x,y,-z'
'x,-y,z'
loop_
_atom_site_label
_atom_site_fract_x
_atom_site_fract_y
_atom_site_fract_z
Tc1 0.000 0.000 0.000
Tc2 0.332 0.500 0.752
Mo1 0.500 0.000 0.500
```



The following is a PBE-GGA calculation of an optimized crystal structure of Tc3Mo, from Alexandria.

As for the offset from the most stable computed form: 0.043 eV/atom. The uncorrected energy is -0.762 Ry per atom.

CIF file:
```
data_Tc3Mo
_chemical_formula_sum 'Tc6 Mo2'
_cell_length_a 9.174
_cell_length_b 2.766
_cell_length_c 4.790
_cell_angle_alpha 90.00
_cell_angle_beta 100.12
_cell_angle_gamma 90.00
_symmetry_space_group_name_H-M 'C 1 2/m 1'
_symmetry_Int_Tables_number 12
loop_
_symmetry_equiv_pos_as_xyz
'x,y,z'
'-x,-y,-z'
'-x,y,-z'
'x,-y,z'
'x+1/2,y+1/2,z'
'-x+1/2,-y+1/2,-z'
'-x+1/2,y+1/2,-z'
'x+1/2,-y+1/2,z'
loop_
_atom_site_label
_atom_site_fract_x
_atom_site_fract_y
_atom_site_fract_z
Tc1 0.000 0.000 0.000
Tc2 0.246 0.500 0.242
Mo1 0.000 0.500 0.500
```



The following is a PBE-GGA calculation of an optimized crystal structure of Tc3Mo, from Alexandria.

As for the offset from the most stable computed form: 0.016 eV/atom. The uncorrected energy is -0.764 Ry per atom.

CIF file:
```
data_Tc3Mo
_chemical_formula_sum 'Tc6 Mo2'
_cell_length_a 4.809
_cell_length_b 5.263
_cell_length_c 5.536
_cell_angle_alpha 105.01
_cell_angle_beta 90.24
_cell_angle_gamma 116.85
_symmetry_space_group_name_H-M 'P -1'
_symmetry_Int_Tables_number 2
loop_
_symmetry_equiv_pos_as_xyz
'x,y,z'
'-x,-y,-z'
loop_
_atom_site_label
_atom_site_fract_x
_atom_site_fract_y
_atom_site_fract_z
Tc1 0.026 0.234 0.433
Tc2 0.034 0.239 0.934
Tc3 0.447 0.743 0.310
Mo1 0.452 0.724 0.807
```



The following is a PBE-GGA calculation of an optimized crystal structure of Tc3Mo, from Alexandria.

As for the offset from the most stable computed form: 0.026 eV/atom. The uncorrected energy is -0.763 Ry per atom.

CIF file:
```
data_Tc3Mo
_chemical_formula_sum 'Tc6 Mo2'
_cell_length_a 4.459
_cell_length_b 5.503
_cell_length_c 4.868
_cell_angle_alpha 90.00
_cell_angle_beta 90.00
_cell_angle_gamma 90.00
_symmetry_space_group_name_H-M 'P m m n'
_symmetry_Int_Tables_number 59
loop_
_symmetry_equiv_pos_as_xyz
'x,y,z'
'-x,-y,-z'
'-x+1/2,-y+1/2,z'
'x+1/2,y+1/2,-z'
'x+1/2,-y,-z'
'-x+1/2,y,z'
'-x,y+1/2,-z'
'x,-y+1/2,z'
loop_
_atom_site_label
_atom_site_fract_x
_atom_site_fract_y
_atom_site_fract_z
Tc1 0.250 0.006 0.160
Tc2 0.250 0.250 0.674
Mo1 0.250 0.750 0.645
```



The following is a PBE-GGA calculation of an optimized crystal structure of Tc7Mo, from Alexandria.

The uncorrected energy is -0.758 Ry per atom.

CIF file:
```
data_Tc7Mo
_chemical_formula_sum 'Tc28 Mo4'
_cell_length_a 7.795
_cell_length_b 7.795
_cell_length_c 7.795
_cell_angle_alpha 90.00
_cell_angle_beta 90.00
_cell_angle_gamma 90.00
_symmetry_space_group_name_H-M 'F m -3 m'
_symmetry_Int_Tables_number 225
_symmetry_space_group_name_Hall '-F 4 2 3'
loop_
_atom_site_label
_atom_site_fract_x
_atom_site_fract_y
_atom_site_fract_z
Tc1 0.000 0.000 0.000
Tc2 0.000 0.250 0.250
Mo1 0.000 0.000 0.500
```



The following is a PBE-GGA calculation of an optimized crystal structure of TcMo2, from Alexandria.

As for the offset from the most stable computed form: 0.229 eV/atom. The uncorrected energy is -0.764 Ry per atom.

CIF file:
```
data_TcMo2
_chemical_formula_sum 'Tc2 Mo4'
_cell_length_a 2.7704
_cell_length_b 2.7704
_cell_length_c 14.1037
_cell_angle_alpha 90.00
_cell_angle_beta 90.00
_cell_angle_gamma 120.00
_symmetry_space_group_name_H-M 'P -3 m 1'
_symmetry_Int_Tables_number 164
_symmetry_space_group_name_Hall '-P 3 2"'
loop_
_atom_site_label
_atom_site_fract_x
_atom_site_fract_y
_atom_site_fract_z
Tc1 0.3333 0.6667 0.4240
Mo1 0.3333 0.6667 0.0864
Mo2 0.3333 0.6667 0.7409
```



The following is a PBE-GGA calculation of an optimized crystal structure of TcMo2, from Alexandria.

As for the offset from the most stable computed form: 0.000 eV/atom. The uncorrected energy is -0.781 Ry per atom.

CIF file:
```
data_TcMo2
_chemical_formula_sum 'Tc4 Mo8'
_cell_length_a 4.437
_cell_length_b 13.362
_cell_length_c 3.135
_cell_angle_alpha 90.00
_cell_angle_beta 90.00
_cell_angle_gamma 90.00
_symmetry_space_group_name_H-M 'C m m 2'
_symmetry_Int_Tables_number 35
loop_
_symmetry_equiv_pos_as_xyz
'x,y,z'
'-x,-y,z'
'-x,y,z'
'x,-y,z'
'x+1/2,y+1/2,z'
'-x+1/2,-y+1/2,z'
'-x+1/2,y+1/2,z'
'x+1/2,-y+1/2,z'
loop_
_atom_site_label
_atom_site_fract_x
_atom_site_fract_y
_atom_site_fract_z
Tc1 0.000 0.170 0.000
Mo1 0.000 0.000 0.532
Mo2 0.000 0.336 0.533
Mo3 0.000 0.500 0.015
```



The following is a PBE-GGA calculation of an optimized crystal structure of TcMo2, from Alexandria.

As for the offset from the most stable computed form: 0.365 eV/atom. The uncorrected energy is -0.754 Ry per atom.

CIF file:
```
data_TcMo2
_chemical_formula_sum 'Tc4 Mo8'
_cell_length_a 2.787
_cell_length_b 2.787
_cell_length_c 24.744
_cell_angle_alpha 90.00
_cell_angle_beta 90.00
_cell_angle_gamma 90.00
_symmetry_space_group_name_H-M 'I 41/a m d'
_symmetry_Int_Tables_number 141
loop_
_symmetry_equiv_pos_as_xyz
'x,y,z'
'-x,-y,-z'
'-y+1/4,x+3/4,z+1/4'
'y+1/4,-x+3/4,-z+1/4'
'-x+1/2,-y,z+1/2'
'x+1/2,y,-z+1/2'
'y+1/4,-x+1/4,z+3/4'
'-y+1/4,x+1/4,-z+3/4'
'x,-y,-z'
'-x,y,z'
'-y+1/4,-x+1/4,-z+3/4'
'y+1/4,x+1/4,z+3/4'
'-x+1/2,y,-z+1/2'
'x+1/2,-y,z+1/2'
'y+1/4,x+3/4,-z+1/4'
'-y+1/4,-x+3/4,z+1/4'
'x+1/2,y+1/2,z+1/2'
'-x+1/2,-y+1/2,-z+1/2'
'-y+3/4,x+1/4,z+3/4'
'y+3/4,-x+1/4,-z+3/4'
'-x,-y+1/2,z'
'x,y+1/2,-z'
'y+3/4,-x+3/4,z+1/4'
'-y+3/4,x+3/4,-z+1/4'
'x+1/2,-y+1/2,-z+1/2'
'-x+1/2,y+1/2,z+1/2'
'-y+3/4,-x+3/4,-z+1/4'
'y+3/4,x+3/4,z+1/4'
'-x,y+1/2,-z'
'x,-y+1/2,z'
'y+3/4,x+1/4,-z+3/4'
'-y+3/4,-x+1/4,z+3/4'
loop_
_atom_site_label
_atom_site_fract_x
_atom_site_fract_y
_atom_site_fract_z
Tc1 0.000 0.250 0.375
Mo1 0.000 0.250 0.798
```



The following is a PBE-GGA calculation of an optimized crystal structure of Tc4Mo3, from Alexandria.

As for the offset from the most stable computed form: 0.141 eV/atom. The uncorrected energy is -0.758 Ry per atom.

CIF file:
```
data_Tc4Mo3
_chemical_formula_sum 'Tc4 Mo3'
_cell_length_a 5.0128
_cell_length_b 5.0128
_cell_length_c 5.0298
_cell_angle_alpha 90.00
_cell_angle_beta 90.00
_cell_angle_gamma 120.00
_symmetry_space_group_name_H-M 'P 6/m m m'
_symmetry_Int_Tables_number 191
_symmetry_space_group_name_Hall '-P 6 2'
loop_
_atom_site_label
_atom_site_fract_x
_atom_site_fract_y
_atom_site_fract_z
Tc1 0.0000 0.0000 0.2271
Tc2 0.3333 0.6667 0.0000
Mo1 0.0000 0.5000 0.5000
```



no.,magnetization (μB/cell),calculated formation energy (eV/f.u.)
1,0.00,0.70
2,0.00,0.57
3,0.00,2.09
4,0.00,0.52
5,0.00,0.45
6,0.00,0.34
7,0.00,0.39
8,0.00,0.85
9,0.00,0.84
10,0.00,0.15
11,0.00,1.25
12,0.00,1.80